FeTc2PtO | Alexandria via LeMat-Bulk | PBEsol | relaxed; formation energy (no corrections) = 2296 meV/atom; space-group type = No. 123
1.0
-2.315 -3.204 2.534
4.066 -2.089 1.073
0.390 2.686 3.752
Fe Tc Pt O
1 2 1 1
direct
0.000 0.000 0.500 Fe
0.000 0.500 0.000 Tc
0.500 0.000 0.000 Tc
0.000 0.000 0.000 Pt
0.500 0.500 0.500 O

CaIr2 | Alexandria via LeMat-Bulk | PBEsol | relaxed; E_form = 0.50 eV per formula unit; space-group type = No. 123
1.0
3.581 0.000 0.000
0.000 3.581 0.000
0.000 0.000 4.854
Ir Ca
2 1
direct
0.000 0.500 0.500 Ir
0.500 0.000 0.500 Ir
0.000 0.000 0.000 Ca

K4Al3Si3ClO12 | Alexandria via LeMat-Bulk | PBEsol | relaxed; formation energy (no corrections) = -2723 meV/atom; space-group type = No. 218
1.0
-7.769 4.935 -1.332
-4.669 -5.863 5.506
2.082 5.269 7.376
Si O Cl K Al
6 24 2 8 6
direct
0.000 0.500 0.250 Si
0.000 0.500 0.750 Si
0.250 0.000 0.500 Si
0.500 0.250 0.000 Si
0.750 0.000 0.500 Si
0.500 0.750 0.000 Si
0.346 0.023 0.645 O
0.654 0.977 0.645 O
0.977 0.645 0.654 O
0.855 0.523 0.154 O
0.355 0.346 0.977 O
0.654 0.023 0.355 O
0.346 0.977 0.355 O
0.023 0.355 0.654 O
0.523 0.846 0.145 O
0.855 0.477 0.846 O
0.154 0.855 0.523 O
0.145 0.523 0.846 O
0.645 0.654 0.977 O
0.846 0.145 0.523 O
0.523 0.154 0.855 O
0.846 0.855 0.477 O
0.477 0.846 0.855 O
0.477 0.154 0.145 O
0.977 0.355 0.346 O
0.023 0.645 0.346 O
0.154 0.145 0.477 O
0.645 0.346 0.023 O
0.145 0.477 0.154 O
0.355 0.654 0.023 O
0.000 0.000 0.000 Cl
0.500 0.500 0.500 Cl
0.814 0.814 0.186 K
0.686 0.314 0.314 K
0.314 0.314 0.686 K
0.686 0.686 0.686 K
0.186 0.186 0.186 K
0.314 0.686 0.314 K
0.814 0.186 0.814 K
0.186 0.814 0.814 K
0.000 0.250 0.500 Al
0.500 0.000 0.750 Al
0.750 0.500 0.000 Al
0.500 0.000 0.250 Al
0.000 0.750 0.500 Al
0.250 0.500 0.000 Al

TlAuSe2 | Alexandria via LeMat-Bulk | PBEsol | relaxed; formation energy (no corrections) = 278 meV/atom; space-group type = No. 99
1.0
-0.167 -2.815 0.191
0.231 -0.204 -2.810
11.196 -0.599 0.966
Se Tl Au
2 1 1
direct
0.500 0.500 0.255 Se
0.000 0.000 0.961 Se
0.000 0.000 0.525 Tl
0.500 0.500 0.759 Au

LiCaCu2Re | Alexandria via LeMat-Bulk | PBEsol | relaxed; E_form = 5.48 eV per formula unit; space-group type = No. 123
1.0
4.727 0.000 0.000
0.000 4.727 0.000
0.000 0.000 5.052
Cu Ca Re Li
2 1 1 1
direct
0.500 0.000 0.000 Cu
0.000 0.500 0.000 Cu
0.000 0.000 0.500 Ca
0.000 0.000 0.000 Re
0.500 0.500 0.500 Li

TlCdPt2 | Alexandria via LeMat-Bulk | PBEsol | relaxed; E_form = 0.02 eV per formula unit; space-group type = No. 12
1.0
-3.008 -0.685 0.129
2.403 -3.088 2.662
-0.744 3.920 3.467
Pt Cd Tl
2 1 1
direct
0.752 0.505 0.759 Pt
0.248 0.495 0.241 Pt
0.500 0.000 0.000 Cd
0.000 0.000 0.500 Tl

SnBOF2 | Alexandria via LeMat-Bulk | PBEsol | relaxed; formation energy (no corrections) = -504 meV/atom; space-group type = No. 123
1.0
-2.866 2.661 -0.835
-2.284 -3.064 -1.926
-1.921 -0.903 3.716
F B Sn O
2 1 1 1
direct
0.000 0.500 0.000 F
0.000 0.000 0.500 F
0.500 0.500 0.500 B
0.000 0.000 0.000 Sn
0.500 0.000 0.000 O

CdIr2W | Alexandria via LeMat-Bulk | PBEsol | relaxed; E_form = 1.33 eV per formula unit; space-group type = No. 10
1.0
2.775 0.000 0.000
0.000 4.852 0.023
0.000 -2.040 4.574
Ir Cd W
2 1 1
direct
0.000 0.000 0.000 Ir
0.500 0.000 0.500 Ir
0.000 0.500 0.500 Cd
0.500 0.500 0.000 W